Computed, not measured: a relaxed structure of Tb3Pr6DyEr2 at the PBE-GGA level of DFT.

The structure in POSCAR format:
```
Tb3Pr6DyEr2
1.0
6.3062 -0.0008 0.0096
-3.1523 5.4618 0.0096
-1.0660 -1.8457 11.6925
Tb Pr Dy Er
3 6 1 2
direct
0.1667 0.8333 0.5000
0.8333 0.1667 0.5000
0.5000 0.5000 0.5000
0.9168 0.5832 0.7512
0.7497 0.7497 0.2488
0.0832 0.4168 0.2488
0.5832 0.9168 0.7512
0.2503 0.2503 0.7512
0.4168 0.0832 0.2488
0.0000 0.0000 0.0000
0.3333 0.6667 0.0000
0.6667 0.3333 0.0000
```

Values from the calculation:
Its formation energy from the elements is 0.01 eV per atom. The value obtained for the energy is -4.680 eV/atom.

=====

Computed, not measured: a relaxed structure of SrIn2Cu at the PBE-GGA level of DFT.

The structure in POSCAR format:
```
SrIn2Cu
1.0
-2.3044 -0.9142 3.8965
0.6239 -4.0326 2.1629
3.8400 0.7347 5.1645
Cu In Sr
1 2 1
direct
0.3182 0.3182 0.0454
0.9625 0.9625 0.1132
0.7144 0.7144 0.8562
0.5049 0.5049 0.4852
```

Values from the calculation:
Its formation energy from the elements is -0.24 eV per atom. The value obtained for the energy is -3.054 eV/atom.

=====

Computed, not measured: a relaxed structure of SbIrO5 at the PBE-GGA level of DFT.

The structure in POSCAR format:
```
SbIrO5
1.0
-1.9688 0.5844 -3.0660
-4.1544 -3.3472 -0.1913
-4.3697 2.8516 1.1285
Sb Ir O
1 1 5
direct
0.0000 0.0000 0.0000
0.5000 0.5000 0.5000
0.7387 0.2613 0.2613
0.0000 0.3180 0.6820
0.5000 0.0000 0.0000
0.0000 0.6820 0.3180
0.2613 0.7387 0.7387
```

Values from the calculation:
The uncorrected formation energy comes out at -0.694 eV per atom. The value obtained for the energy is -6.091 eV/atom.

=====

Computed, not measured: a relaxed structure of Fe2MoAs at the PBE-GGA level of DFT.

The structure in POSCAR format:
```
Fe2MoAs
1.0
2.7905 0.0000 0.0000
0.0000 2.7905 0.0000
0.0000 0.0000 6.4843
As Fe Mo
1 2 1
direct
0.5000 0.5000 0.7500
0.0000 0.0000 0.9697
0.0000 0.0000 0.5303
0.5000 0.5000 0.2500
```

Values from the calculation:
Its formation energy from the elements is 0.10 eV per atom. The value obtained for the energy is -8.005 eV/atom.

=====

Computed, not measured: a relaxed structure of PaBrCl3 at the PBE-GGA level of DFT.

The structure in POSCAR format:
```
PaBrCl3
1.0
-5.3473 -5.0776 -2.2216
4.9378 0.8272 -5.8519
5.1835 -6.9431 3.3923
Pa Br Cl
2 2 6
direct
0.8856 0.1144 0.7500
0.1144 0.8856 0.2500
0.6699 0.3301 0.7500
0.3301 0.6699 0.2500
0.1728 0.3814 0.7500
0.6186 0.8272 0.7500
0.3814 0.1728 0.2500
0.8272 0.6186 0.2500
0.0000 0.0000 0.0000
0.0000 0.0000 0.5000
```

Values from the calculation:
The uncorrected formation energy comes out at -1.582 eV per atom. The value obtained for the relative energy among the computed polymorphs is 10 kJ/mol of formula units. The value obtained for the energy is -4.924 eV/atom.

=====

Computed, not measured: a relaxed structure of HfFeSe2Br at the PBE-GGA level of DFT.

The structure in POSCAR format:
```
HfFeSe2Br
1.0
4.7713 0.0000 0.0000
0.0000 4.7713 0.0000
0.0000 0.0000 4.6834
Hf Se Br Fe
1 2 1 1
direct
0.5000 0.5000 0.5000
0.0000 0.5000 0.0000
0.5000 0.0000 0.0000
0.0000 0.0000 0.5000
0.0000 0.0000 0.0000
```

Values from the calculation:
The uncorrected formation energy comes out at 0.247 eV per atom. The value obtained for the relative energy among the computed polymorphs is 120 kJ/mol of formula units. The value obtained for the energy is -5.165 eV/atom.